(1)
Computed, not measured: a PBEsol-optimized structure of ScRhN2 at the SCAN level of DFT.

abc: 4.5071 4.5071 5.9431
angles: 112.28 112.28 90.00
Last column: nearest neighbours and their distance in Å.
Fractional coordinates of all 8 atoms:
Sc 0.7500 0.2500 0.5000  4 N 2.10
Sc 0.5000 0.5000 0.0000  4 N 2.10
Rh 0.2500 0.7500 0.5000  4 N 1.96
Rh 0.0000 0.0000 0.0000  4 N 1.96
N 0.3487 0.8750 0.2500  2 Rh 1.96, 2 Sc 2.10
N 0.9013 0.3750 0.2500  2 Rh 1.96, 2 Sc 2.10
N 0.1250 0.0987 0.7500  2 Rh 1.96, 2 Sc 2.10
N 0.6250 0.6513 0.7500  2 Rh 1.96, 2 Sc 2.10

- E: -17.24 eV per atom
- N(E_F): 0.59 states/eV per atom
- Raw formation energy: -0.59 eV per atom



(2)
Computed, not measured: a PBEsol-optimized structure of ScRhSeN2 at the SCAN level of DFT.

abc: 3.9525 3.9525 5.2272
angles: 90.00 90.00 90.00
Last column: nearest neighbours and their distance in Å.
Fractional coordinates of all 5 atoms:
Sc 0.0000 0.0000 0.0000  4 N 1.98
Rh 0.5000 0.5000 0.5000  4 Se 2.79
Se 0.0000 0.0000 0.5000  2 Sc 2.61, 4 Rh 2.79
N 0.0000 0.5000 0.0000  2 Sc 1.98
N 0.5000 0.0000 0.0000  2 Sc 1.98

- E: -16.52 eV per atom
- N(E_F): 0.30 states/eV per atom
- Raw formation energy: 0.81 eV per atom



(3)
Computed, not measured: a PBEsol-optimized structure of ScRhSe2N at the SCAN level of DFT.

abc: 3.6292 4.9859 4.9859
angles: 90.00 90.00 90.00
Last column: nearest neighbours and their distance in Å.
Fractional coordinates of all 5 atoms:
Sc 0.5000 0.5000 0.5000  8 Se 3.08
Rh 0.0000 0.0000 0.0000  2 N 1.81
Se 0.0000 0.0000 0.5000  2 Rh 2.49
Se 0.0000 0.5000 0.0000  2 Rh 2.49
N 0.5000 0.0000 0.0000  2 Rh 1.81

- E: -19.79 eV per atom
- N(E_F): 0.30 states/eV per atom
- Raw formation energy: -0.30 eV per atom



(4)
Computed, not measured: a PBEsol-optimized structure of ScTcRhN2 at the SCAN level of DFT.

abc: 3.7815 3.7815 5.1213
angles: 90.00 90.00 90.00
Last column: nearest neighbours and their distance in Å.
Fractional coordinates of all 5 atoms:
Sc 0.0000 0.0000 0.5000  2 Rh 2.56, 4 Tc 2.67
Rh 0.0000 0.0000 0.0000  4 N 1.89
Tc 0.5000 0.5000 0.5000  4 Sc 2.67
N 0.0000 0.5000 0.0000  2 Rh 1.89
N 0.5000 0.0000 0.0000  2 Rh 1.89

- E: -19.01 eV per atom
- N(E_F): 0.74 states/eV per atom
- Raw formation energy: 1.32 eV per atom



(5)
Computed, not measured: a PBEsol-optimized structure of RhWSeN2 at the SCAN level of DFT.

abc: 3.8209 3.8209 5.1971
angles: 90.00 90.00 90.00
Last column: nearest neighbours and their distance in Å.
Fractional coordinates of all 5 atoms:
Rh 0.5000 0.5000 0.5000  4 Se 2.70
Se 0.0000 0.0000 0.5000  2 W 2.60, 4 Rh 2.70
W 0.0000 0.0000 0.0000  4 N 1.91
N 0.0000 0.5000 0.0000  2 W 1.91
N 0.5000 0.0000 0.0000  2 W 1.91

- E: -27.80 eV per atom
- ΔE to the lowest computed polymorph: 0.0 meV/atom
- N(E_F): 0.58 states/eV per atom
- Raw formation energy: 0.63 eV per atom



(6)
Computed, not measured: a PBEsol-optimized structure of RhWSeN2 at the SCAN level of DFT.

abc: 3.7692 3.7692 5.0774
angles: 90.00 90.00 90.00
Last column: nearest neighbours and their distance in Å.
Fractional coordinates of all 5 atoms:
Rh 0.0000 0.0000 0.0000  4 N 1.88
Se 0.0000 0.0000 0.5000  2 Rh 2.54, 4 W 2.67
W 0.5000 0.5000 0.5000  4 Se 2.67
N 0.0000 0.5000 0.0000  2 Rh 1.88
N 0.5000 0.0000 0.0000  2 Rh 1.88

- E: -26.80 eV per atom
- ΔE to the lowest computed polymorph: 994.3 meV/atom
- N(E_F): 0.76 states/eV per atom
- Raw formation energy: 1.62 eV per atom



(7)
Computed, not measured: a PBEsol-optimized structure of RhWSe2N at the SCAN level of DFT.

abc: 3.5396 4.9525 4.9525
angles: 90.00 90.00 90.00
Last column: nearest neighbours and their distance in Å.
Fractional coordinates of all 5 atoms:
Rh 0.0000 0.0000 0.0000  2 N 1.77
Se 0.0000 0.0000 0.5000  2 Rh 2.48
Se 0.0000 0.5000 0.0000  2 Rh 2.48
W 0.5000 0.5000 0.5000  8 Se 3.04
N 0.5000 0.0000 0.0000  2 Rh 1.77

- E: -29.54 eV per atom
- N(E_F): 0.38 states/eV per atom
- Raw formation energy: 1.04 eV per atom



(8)
Computed, not measured: a PBEsol-optimized structure of ZrRh2SeN at the SCAN level of DFT.

abc: 3.9240 4.5441 4.5441
angles: 90.00 90.00 90.00
Last column: nearest neighbours and their distance in Å.
Fractional coordinates of all 5 atoms:
Rh 0.0000 0.0000 0.5000  2 Se 2.27
Rh 0.0000 0.5000 0.0000  2 Se 2.27
Se 0.0000 0.0000 0.0000  2 N 1.96
Zr 0.5000 0.5000 0.5000  8 Rh 3.00, 4 N 3.21
N 0.5000 0.0000 0.0000  2 Se 1.96

- E: -24.83 eV per atom
- N(E_F): 0.74 states/eV per atom
- Raw formation energy: 0.69 eV per atom



(9)
Computed, not measured: a PBEsol-optimized structure of Si2RhN at the SCAN level of DFT.

abc: 5.1243 5.1243 5.1243
angles: 93.26 118.14 118.14
Last column: nearest neighbours and their distance in Å.
Fractional coordinates of all 8 atoms:
Si 0.9285 0.5535 0.1250  2 N 1.84
Si 0.0715 0.1965 0.6250  2 N 1.84
Si 0.5715 0.3750 0.4465  2 N 1.84
Si 0.4285 0.8750 0.8035  2 N 1.84
Rh 0.0000 0.0000 0.0000  4 Si 2.32
Rh 0.5000 0.7500 0.2500  4 Si 2.32
N 0.0000 0.5000 0.5000  4 Si 1.84
N 0.5000 0.2500 0.7500  4 Si 1.84

- E: -16.32 eV per atom
- Raw formation energy: -0.55 eV per atom



(10)
Computed, not measured: a PBEsol-optimized structure of SiRhN3 at the SCAN level of DFT.

abc: 3.5546 3.5546 3.5546
angles: 90.00 90.00 90.00
Last column: nearest neighbours and their distance in Å.
Fractional coordinates of all 5 atoms:
Si 0.0000 0.0000 0.0000  6 N 1.78
Rh 0.5000 0.5000 0.5000  12 N 2.51
N 0.0000 0.5000 0.0000  2 Si 1.78
N 0.0000 0.0000 0.5000  2 Si 1.78
N 0.5000 0.0000 0.0000  2 Si 1.78

- E: -13.62 eV per atom
- N(E_F): 0.40 states/eV per atom
- Raw formation energy: 0.72 eV per atom



(11)
Computed, not measured: a PBEsol-optimized structure of SmRhN3 at the SCAN level of DFT.

abc: 3.2823 5.5562 7.4923
angles: 111.76 90.00 90.00
Last column: nearest neighbours and their distance in Å.
Fractional coordinates of all 10 atoms:
Rh 0.5000 0.6428 0.2855  4 N 1.95-2.04
Rh 0.5000 0.3572 0.7145  4 N 1.95-2.04
Sm 0.0000 0.8322 0.6645  4 N 2.44
Sm 0.0000 0.1678 0.3355  4 N 2.44
N 0.5000 0.2093 0.9131  1 N 1.21
N 0.5000 0.7907 0.0869  1 N 1.21
N 0.5000 0.2962 0.0869  1 N 1.21
N 0.5000 0.5000 0.5000  2 Rh 2.04
N 0.5000 0.7038 0.9131  1 N 1.21
N 0.5000 0.0000 0.5000  2 Rh 2.04

- E: -21.85 eV per atom
- N(E_F): 0.22 states/eV per atom
- Raw formation energy: -0.64 eV per atom



(12)
Computed, not measured: a PBEsol-optimized structure of Sr3RhN3 at the SCAN level of DFT.

abc: 5.2655 7.6010 7.6010
angles: 120.00 90.00 90.00
Last column: nearest neighbours and their distance in Å.
Fractional coordinates of all 14 atoms:
Sr 0.7500 0.0938 0.7301  5 N 2.64-2.83
Sr 0.7500 0.2699 0.3637  5 N 2.64-2.83
Sr 0.7500 0.6363 0.9062  5 N 2.64-2.83
Sr 0.2500 0.9062 0.2699  5 N 2.64-2.83
Sr 0.2500 0.7301 0.6363  5 N 2.64-2.83
Sr 0.2500 0.3637 0.0938  5 N 2.64-2.83
Rh 0.2500 0.3333 0.6667  3 N 1.88
Rh 0.7500 0.6667 0.3333  3 N 1.88
N 0.2500 0.1043 0.6996  1 Rh 1.88
N 0.2500 0.3004 0.4047  1 Rh 1.88
N 0.2500 0.5953 0.8957  1 Rh 1.88
N 0.7500 0.8957 0.3004  1 Rh 1.88
N 0.7500 0.6996 0.5953  1 Rh 1.88
N 0.7500 0.4047 0.1043  1 Rh 1.88

- E: -19.00 eV per atom
- N(E_F): 0.53 states/eV per atom
- Raw formation energy: -0.65 eV per atom



(13)
Computed, not measured: a PBEsol-optimized structure of Te3RhN at the SCAN level of DFT.

abc: 5.1644 5.1644 5.1644
angles: 90.00 90.00 90.00
Last column: nearest neighbours and their distance in Å.
Fractional coordinates of all 5 atoms:
Te 0.0000 0.5000 0.0000  2 Rh 2.58
Te 0.0000 0.0000 0.5000  2 Rh 2.58
Te 0.5000 0.0000 0.0000  2 Rh 2.58
Rh 0.0000 0.0000 0.0000  6 Te 2.58
N 0.5000 0.5000 0.5000  12 Te 3.65

- E: -29.74 eV per atom
- N(E_F): 1.22 states/eV per atom
- Raw formation energy: 1.22 eV per atom



(14)
Computed, not measured: a PBEsol-optimized structure of TiTe2RhN at the SCAN level of DFT.

abc: 3.6013 5.3381 5.3381
angles: 90.00 90.00 90.00
Last column: nearest neighbours and their distance in Å.
Fractional coordinates of all 5 atoms:
N 0.5000 0.0000 0.0000  2 Rh 1.80
Te 0.0000 0.0000 0.5000  2 Rh 2.67
Te 0.0000 0.5000 0.0000  2 Rh 2.67
Rh 0.0000 0.0000 0.0000  2 N 1.80
Ti 0.5000 0.5000 0.5000  8 Te 3.22, 2 Ti 3.60

- E: -26.54 eV per atom
- N(E_F): 0.40 states/eV per atom
- Raw formation energy: 0.18 eV per atom